[1]
This record from the Alexandria database describes a relaxed V3AuN crystal. The functional is PBE.

a = 4.0392 Å, b = 4.0392 Å, c = 10.9358 Å
α = 79.36°, β = 79.36°, γ = 90.00°
Closest atoms and distances in Å follow each position.
Positions (direct):
N 0.8562 0.3562 0.2877  6 V 2.10-2.31
N 0.6438 0.1438 0.7123  6 V 2.10-2.31
V 0.1191 0.8716 0.7617  2 V 2.00-2.04
V 0.1191 0.3667 0.7617  2 V 2.00-2.04
V 0.1284 0.8809 0.2383  2 V 2.00-2.04
V 0.3282 0.3282 0.3436  2 N 2.10
V 0.6333 0.8809 0.2383  2 V 2.00-2.04
V 0.6718 0.6718 0.6564  2 N 2.10
Au 0.0000 0.0000 0.0000  4 V 2.71
Au 0.2500 0.7500 0.5000  4 V 2.61

Calculated values
Total magnetic moment in μB per cell: 0.00
DOS at the Fermi energy in states/eV/cell: 8.5
E_form (uncorrected) in eV/f.u.: 3.1
Symmetry: I-4m2, No. 119

[2]
This record from the Alexandria database describes a relaxed V3AuN crystal. The functional is PBE.

a = 20.5707 Å, b = 5.3181 Å, c = 8.1766 Å
α = 90.00°, β = 162.90°, γ = 90.00°
Closest atoms and distances in Å follow each position.
Positions (direct):
V 0.5328 0.1638 0.2727  1 N 1.98
V 0.8046 0.5946 0.4426  3 N 2.05-2.12
V 0.1954 0.4054 0.5574  3 N 2.05-2.12
V 0.0328 0.3362 0.7727  1 N 1.98
V 0.6954 0.0946 0.0574  3 N 2.05-2.12
V 0.6697 0.5285 0.8133  2 N 1.97-1.99
V 0.3046 0.9054 0.9426  3 N 2.05-2.12
V 0.9672 0.6638 0.2273  1 N 1.98
V 0.8303 0.0285 0.6867  2 N 1.97-1.99
V 0.4672 0.8362 0.7273  1 N 1.98
V 0.3303 0.4715 0.1867  2 N 1.97-1.99
V 0.1697 0.9715 0.3133  2 N 1.97-1.99
N 0.9586 0.2524 0.8238  6 V 1.97-2.12
N 0.4586 0.2476 0.3238  6 V 1.97-2.12
N 0.0414 0.7476 0.1762  6 V 1.97-2.12
N 0.5414 0.7524 0.6762  6 V 1.97-2.12
Au 0.4723 0.3201 0.8186  7 V 2.65-2.87, 1 Au 2.70
Au 0.9723 0.1799 0.3186  7 V 2.65-2.87, 1 Au 2.70
Au 0.5277 0.6799 0.1814  7 V 2.65-2.87, 1 Au 2.70
Au 0.0277 0.8201 0.6814  7 V 2.65-2.87, 1 Au 2.70

Calculated values
Total magnetic moment in μB per cell: 0.00
DOS at the Fermi energy in states/eV/cell: 18.7
E_form (uncorrected) in eV/f.u.: -2.0
Symmetry: P2_1/c, No. 14

[3]
This record from the Alexandria database describes a relaxed V3AuN crystal. The functional is PBE.

a = 3.2271 Å, b = 3.2271 Å, c = 6.9808 Å
α = 90.00°, β = 90.00°, γ = 90.00°
Closest atoms and distances in Å follow each position.
Positions (direct):
V 0.0000 0.5000 0.4153  2 N 2.19, 4 V 2.28
V 0.5000 0.0000 0.4153  2 N 2.19, 4 V 2.28
V 0.0000 0.0000 0.7107  4 N 2.35, 4 V 2.62
N 0.5000 0.5000 0.6275  8 V 2.19-2.35
Au 0.0000 0.0000 0.0949  5 V 2.68-2.76

Calculated values
Total magnetic moment in μB per cell: 1.28
DOS at the Fermi energy in states/eV/cell: 4.7
E_form (uncorrected) in eV/f.u.: 1.3
Symmetry: P4mm, No. 99

[4]
This record from the Alexandria database describes a relaxed VAu2N crystal. The functional is PBE.

a = 8.4964 Å, b = 8.4964 Å, c = 6.2960 Å
α = 47.57°, β = 47.57°, γ = 90.00°
Closest atoms and distances in Å follow each position.
Positions (direct):
Au 0.2419 0.6250 0.2500  2 N 2.45, 2 Au 2.74
Au 0.3750 0.4919 0.7500  2 N 2.45, 2 Au 2.74
Au 0.8750 0.7581 0.7500  2 N 2.45, 2 Au 2.74
Au 0.5081 0.1250 0.2500  2 N 2.45, 2 Au 2.74
V 0.7500 0.2500 0.5000  2 N 1.88
V 0.0000 0.0000 0.0000  2 N 1.88
N 0.2500 0.7500 0.5000  2 V 1.88
N 0.5000 0.5000 0.0000  2 V 1.88

Calculated values
Total magnetic moment in μB per cell: 3.58
DOS at the Fermi energy in states/eV/cell: 6.0
E_form (uncorrected) in eV/f.u.: 1.9
Symmetry: I-42d, No. 122

[5]
This record from the Alexandria database describes a relaxed V3AuN crystal. The functional is PBE.

a = 4.2674 Å, b = 4.2674 Å, c = 8.0345 Å
α = 90.00°, β = 90.00°, γ = 120.00°
Closest atoms and distances in Å follow each position.
Positions (direct):
V 0.3333 0.6667 0.4235  3 N 2.54, 4 Au 2.62-2.83, 7 V 2.75-2.83
V 0.0000 0.0000 0.2500  2 N 2.01
V 0.6667 0.3333 0.5765  3 N 2.54, 4 Au 2.62-2.83, 7 V 2.75-2.83
V 0.3333 0.6667 0.0765  3 N 2.54, 4 Au 2.62-2.83, 7 V 2.75-2.83
V 0.0000 0.0000 0.7500  2 N 2.01
V 0.6667 0.3333 0.9235  3 N 2.54, 4 Au 2.62-2.83, 7 V 2.75-2.83
Au 0.6667 0.3333 0.2500  5 V 2.46-2.62
Au 0.3333 0.6667 0.7500  5 V 2.46-2.62
N 0.0000 0.0000 0.5000  2 V 2.01
N 0.0000 0.0000 0.0000  2 V 2.01

Calculated values
Total magnetic moment in μB per cell: 0.00
DOS at the Fermi energy in states/eV/cell: 6.1
E_form (uncorrected) in eV/f.u.: 0.1
Symmetry: P6_3/mmc, No. 194

[6]
This record from the Alexandria database describes a relaxed V3AuN crystal. The functional is PBE.

a = 11.5558 Å, b = 2.8429 Å, c = 4.1708 Å
α = 89.92°, β = 70.15°, γ = 82.96°
Closest atoms and distances in Å follow each position.
Positions (direct):
V 0.6292 0.1288 0.4505  2 N 1.94
V 0.2247 0.8307 0.3479  1 N 2.04
V 0.9910 0.4467 0.6189  2 N 1.95
V 0.7572 0.5657 0.8385  2 N 2.08-2.09
V 0.1160 0.3865 0.9490  2 N 1.95
V 0.8823 0.0026 0.2265  3 N 2.00-2.09
N 0.0563 0.9152 0.2843  6 V 1.95-2.09
N 0.7511 0.5682 0.3425  6 V 1.94-2.09
Au 0.3626 0.2595 0.7012  5 V 2.66-2.97, 6 Au 2.84-2.93
Au 0.5007 0.6916 0.0713  6 V 2.76-2.97, 6 Au 2.84-2.93

Calculated values
Total magnetic moment in μB per cell: 0.00
DOS at the Fermi energy in states/eV/cell: 9.6
E_form (uncorrected) in eV/f.u.: -2.5
Symmetry: P1, No. 1

[7]
This record from the Alexandria database describes a relaxed V3AuN crystal. The functional is PBE.

a = 3.2147 Å, b = 3.2147 Å, c = 16.0523 Å
α = 90.00°, β = 90.00°, γ = 120.00°
Closest atoms and distances in Å follow each position.
Positions (direct):
N 0.6667 0.3333 0.2500  5 V 1.86-1.95
N 0.3333 0.6667 0.7500  5 V 1.86-1.95
V 0.6667 0.3333 0.3716  1 N 1.95
V 0.0000 0.0000 0.2500  3 N 1.86
V 0.6667 0.3333 0.1284  1 N 1.95
V 0.0000 0.0000 0.7500  3 N 1.86
V 0.3333 0.6667 0.6284  1 N 1.95
V 0.3333 0.6667 0.8716  1 N 1.95
Au 0.0000 0.0000 0.0000  6 V 2.77
Au 0.0000 0.0000 0.5000  6 V 2.77

Calculated values
Total magnetic moment in μB per cell: 0.00
DOS at the Fermi energy in states/eV/cell: 9.7
E_form (uncorrected) in eV/f.u.: -1.0
Symmetry: P6_3/mmc, No. 194

[8]
This record from the Alexandria database describes a relaxed V3AuN crystal. The functional is PBE.

a = 10.2653 Å, b = 2.8358 Å, c = 4.4388 Å
α = 86.52°, β = 89.42°, γ = 96.76°
Closest atoms and distances in Å follow each position.
Positions (direct):
Au 0.4860 0.4747 0.4443  3 V 2.64-2.89, 6 Au 2.81-2.95
Au 0.3716 0.9294 0.9492  5 V 2.66-2.89, 6 Au 2.81-2.95
V 0.8843 0.7365 0.9161  3 N 1.96-2.05
V 0.9901 0.3805 0.4137  2 N 1.96-2.03
V 0.1292 0.3567 0.9524  2 N 1.96-2.02
V 0.2270 0.9499 0.4470  1 N 1.99
V 0.7487 0.1325 0.4273  2 N 2.19-2.25
V 0.6260 0.6132 0.9342  2 N 1.89
N 0.7487 0.1671 0.9332  4 V 1.89-2.00
N 0.0596 0.8682 0.6840  6 V 1.96-2.05

Calculated values
Total magnetic moment in μB per cell: 0.00
DOS at the Fermi energy in states/eV/cell: 8.6
E_form (uncorrected) in eV/f.u.: -2.4
Symmetry: P1, No. 1

> What is the total magnetic moment in the second record?

0.00 μB per cell